# 1
This record from Alexandria describes a geometry-optimized Re2TcTe structure. The functional is PBE-GGA.

Lattice parameters (Å, degrees): 5.3453 5.3453 5.3453 146.26 129.50 62.12
Atoms (fractional coordinates):
Re (0.0000, 0.0000, 0.0000)
Re (0.7419, 0.2419, 0.5000)
Tc (0.2755, 0.7755, 0.5000)
Te (0.5051, 0.5051, 0.0000)

The calculation puts the total DFT energy (no corrections) at -8.978 eV per atom. The energy relative to the elements, uncorrected is 0.62 eV/atom. As for the crystal system: orthorhombic. As for the space group: No. 44.

=====

# 2
This record from Alexandria describes a geometry-optimized SnAs3N structure. The functional is PBE-GGA.

Lattice parameters (Å, degrees): 5.3184 5.3184 5.3184 90.00 90.00 90.00
Atoms (fractional coordinates):
Sn (0.0000, 0.0000, 0.0000)
As (0.0000, 0.0000, 0.5000)
As (0.0000, 0.5000, 0.0000)
As (0.5000, 0.0000, 0.0000)
N (0.5000, 0.5000, 0.5000)

The calculation puts the total DFT energy (no corrections) at -3.331 eV per atom. The energy relative to the elements, uncorrected is 1.92 eV/atom. As for the crystal system: cubic. As for the space group: No. 221.

=====

# 3
This record from Alexandria describes a geometry-optimized VCr3Os structure. The functional is PBE-GGA.

Lattice parameters (Å, degrees): 4.1341 4.1341 4.1341 90.00 90.00 90.00
Atoms (fractional coordinates):
V (0.0000, 0.0000, 0.0000)
Cr (0.0000, 0.0000, 0.5000)
Cr (0.0000, 0.5000, 0.0000)
Cr (0.5000, 0.0000, 0.0000)
Os (0.5000, 0.5000, 0.5000)

The calculation puts the total DFT energy (no corrections) at -8.443 eV per atom. As for the crystal system: cubic. As for the space group: No. 221. The calculation puts the formation enthalpy at 0 K at 1.400 eV per atom.

=====

> Which of these has the lowest total DFT energy (no corrections)?

Re2TcTe